Record 1
# Hf2ZrCo3 PBE optimized geometry
data_Hf2ZrCo3
_symmetry_space_group_name_H-M 'P 4/m m m'
_symmetry_Int_Tables_number 123
_symmetry_space_group_name_Hall '-P 4 2'
_cell_length_a 3.1364
_cell_length_b 3.1364
_cell_length_c 9.6078
_cell_angle_alpha 90.00
_cell_angle_beta 90.00
_cell_angle_gamma 90.00
loop_
_atom_site_label
_atom_site_type_symbol
_atom_site_fract_x
_atom_site_fract_y
_atom_site_fract_z
Hf1 Hf 0.0000 0.0000 0.1657
Zr1 Zr 0.0000 0.0000 0.5000
Co1 Co 0.5000 0.5000 0.0000
Co2 Co 0.5000 0.5000 0.3237
# - energy relative to the elements (eV per atom) = -0.36

=====

Record 2
# Hf3ZrCo PBE optimized geometry
data_Hf3ZrCo
_symmetry_space_group_name_H-M 'P m -3 m'
_symmetry_Int_Tables_number 221
_symmetry_space_group_name_Hall '-P 4 2 3'
_cell_length_a 4.7966
_cell_length_b 4.7966
_cell_length_c 4.7966
_cell_angle_alpha 90.00
_cell_angle_beta 90.00
_cell_angle_gamma 90.00
loop_
_atom_site_label
_atom_site_type_symbol
_atom_site_fract_x
_atom_site_fract_y
_atom_site_fract_z
Hf1 Hf 0.0000 0.0000 0.5000
Zr1 Zr 0.5000 0.5000 0.5000
Co1 Co 0.0000 0.0000 0.0000
# - energy relative to the elements (eV per atom) = 0.18

=====

Record 3
# Hf6Zr2Co PBE optimized geometry
data_Hf6Zr2Co
_symmetry_space_group_name_H-M 'C m m m'
_symmetry_Int_Tables_number 65
_symmetry_space_group_name_Hall '-C 2 2'
_cell_length_a 8.2318
_cell_length_b 15.4556
_cell_length_c 3.1104
_cell_angle_alpha 90.00
_cell_angle_beta 90.00
_cell_angle_gamma 90.00
loop_
_atom_site_label
_atom_site_type_symbol
_atom_site_fract_x
_atom_site_fract_y
_atom_site_fract_z
Hf1 Hf 0.1731 0.1651 0.0000
Hf2 Hf 0.2353 0.5000 0.5000
Zr1 Zr 0.0000 0.3287 0.5000
Co1 Co 0.0000 0.0000 0.0000
# - energy relative to the elements (eV per atom) = 0.18

=====

Record 4
# HfZr2Co3 PBE optimized geometry
data_HfZr2Co3
_symmetry_space_group_name_H-M 'P -3 m 1'
_symmetry_Int_Tables_number 164
_symmetry_space_group_name_Hall '-P 3 2"'
_cell_length_a 4.4951
_cell_length_b 4.4951
_cell_length_c 11.0201
_cell_angle_alpha 90.00
_cell_angle_beta 90.00
_cell_angle_gamma 120.00
loop_
_atom_site_label
_atom_site_type_symbol
_atom_site_fract_x
_atom_site_fract_y
_atom_site_fract_z
Hf1 Hf 0.3333 0.6667 0.1664
Zr1 Zr 0.0000 0.0000 0.0000
Zr2 Zr 0.0000 0.0000 0.5000
Zr3 Zr 0.3333 0.6667 0.6676
Co1 Co 0.0000 0.0000 0.2472
Co2 Co 0.3333 0.6667 0.4132
Co3 Co 0.3333 0.6667 0.9167
# - energy relative to the elements (eV per atom) = -0.32

=====

Record 5
# HfZr2Co PBE optimized geometry
data_HfZr2Co
_symmetry_space_group_name_H-M 'P 4/m m m'
_symmetry_Int_Tables_number 123
_symmetry_space_group_name_Hall '-P 4 2'
_cell_length_a 3.2387
_cell_length_b 3.2387
_cell_length_c 7.3689
_cell_angle_alpha 90.00
_cell_angle_beta 90.00
_cell_angle_gamma 90.00
loop_
_atom_site_label
_atom_site_type_symbol
_atom_site_fract_x
_atom_site_fract_y
_atom_site_fract_z
Hf1 Hf 0.0000 0.0000 0.0000
Zr1 Zr 0.5000 0.5000 0.2889
Co1 Co 0.0000 0.0000 0.5000
# - energy relative to the elements (eV per atom) = -0.13

=====

Record 6
# Hf2Zr2Co3 PBE optimized geometry
data_Hf2Zr2Co3
_symmetry_space_group_name_H-M 'P -1'
_symmetry_Int_Tables_number 2
_symmetry_space_group_name_Hall '-P 1'
_cell_length_a 3.2232
_cell_length_b 5.5423
_cell_length_c 6.8536
_cell_angle_alpha 83.47
_cell_angle_beta 88.05
_cell_angle_gamma 80.14
loop_
_atom_site_label
_atom_site_type_symbol
_atom_site_fract_x
_atom_site_fract_y
_atom_site_fract_z
Hf1 Hf 0.2226 0.1179 0.1618
Zr1 Zr 0.1497 0.3707 0.6989
Co1 Co 0.2912 0.8364 0.5474
Co2 Co 0.5000 0.5000 0.0000
# - energy relative to the elements (eV per atom) = -0.17

=====

Record 7
# HfZrCo2 PBE optimized geometry
data_HfZrCo2
_symmetry_space_group_name_H-M 'P 4/m m m'
_symmetry_Int_Tables_number 123
_symmetry_space_group_name_Hall '-P 4 2'
_cell_length_a 3.1741
_cell_length_b 3.1741
_cell_length_c 6.3846
_cell_angle_alpha 90.00
_cell_angle_beta 90.00
_cell_angle_gamma 90.00
loop_
_atom_site_label
_atom_site_type_symbol
_atom_site_fract_x
_atom_site_fract_y
_atom_site_fract_z
Hf1 Hf 0.0000 0.0000 0.0000
Zr1 Zr 0.0000 0.0000 0.5000
Co1 Co 0.5000 0.5000 0.2428
# - energy relative to the elements (eV per atom) = -0.33

=====

Record 8
# HfZr3Co4 PBE optimized geometry
data_HfZr3Co4
_symmetry_space_group_name_H-M 'P m m m'
_symmetry_Int_Tables_number 47
_symmetry_space_group_name_Hall '-P 2 2'
_cell_length_a 3.1547
_cell_length_b 4.4970
_cell_length_c 9.0391
_cell_angle_alpha 90.00
_cell_angle_beta 90.00
_cell_angle_gamma 90.00
loop_
_atom_site_label
_atom_site_type_symbol
_atom_site_fract_x
_atom_site_fract_y
_atom_site_fract_z
Hf1 Hf 0.0000 0.0000 0.0000
Zr1 Zr 0.0000 0.0000 0.5000
Zr2 Zr 0.0000 0.5000 0.2485
Co1 Co 0.5000 0.0000 0.2422
Co2 Co 0.5000 0.5000 0.0000
Co3 Co 0.5000 0.5000 0.5000
# - energy relative to the elements (eV per atom) = -0.31

=====

Record 9
# Hf5ZrCo4 PBE optimized geometry
data_Hf5ZrCo4
_symmetry_space_group_name_H-M 'P 4/m m m'
_symmetry_Int_Tables_number 123
_symmetry_space_group_name_Hall '-P 4 2'
_cell_length_a 3.1771
_cell_length_b 3.1771
_cell_length_c 16.8780
_cell_angle_alpha 90.00
_cell_angle_beta 90.00
_cell_angle_gamma 90.00
loop_
_atom_site_label
_atom_site_type_symbol
_atom_site_fract_x
_atom_site_fract_y
_atom_site_fract_z
Hf1 Hf 0.0000 0.0000 0.0000
Hf2 Hf 0.0000 0.0000 0.1865
Hf3 Hf 0.0000 0.0000 0.3705
Zr1 Zr 0.5000 0.5000 0.5000
Co1 Co 0.5000 0.5000 0.0935
Co2 Co 0.5000 0.5000 0.2763
# - energy relative to the elements (eV per atom) = -0.31

=====

Record 10
# Hf6ZrCo3 PBE optimized geometry
data_Hf6ZrCo3
_symmetry_space_group_name_H-M 'C m c 21'
_symmetry_Int_Tables_number 36
_symmetry_space_group_name_Hall 'C 2c -2'
_cell_length_a 10.8788
_cell_length_b 11.3512
_cell_length_c 6.0622
_cell_angle_alpha 90.00
_cell_angle_beta 90.00
_cell_angle_gamma 90.00
loop_
_atom_site_label
_atom_site_type_symbol
_atom_site_fract_x
_atom_site_fract_y
_atom_site_fract_z
Hf1 Hf 0.0000 0.0706 0.0000
Hf2 Hf 0.0000 0.3133 0.2452
Hf3 Hf 0.2265 0.4968 0.2315
Hf4 Hf 0.2326 0.2369 0.9960
Zr1 Zr 0.0000 0.3085 0.7338
Co1 Co 0.0000 0.4963 0.9900
Co2 Co 0.1100 0.1202 0.4645
# - energy relative to the elements (eV per atom) = -0.13

=====

Record 11
# HfZr4Co5 PBE optimized geometry
data_HfZr4Co5
_symmetry_space_group_name_H-M 'P 4/m m m'
_symmetry_Int_Tables_number 123
_symmetry_space_group_name_Hall '-P 4 2'
_cell_length_a 3.1977
_cell_length_b 3.1977
_cell_length_c 15.8686
_cell_angle_alpha 90.00
_cell_angle_beta 90.00
_cell_angle_gamma 90.00
loop_
_atom_site_label
_atom_site_type_symbol
_atom_site_fract_x
_atom_site_fract_y
_atom_site_fract_z
Hf1 Hf 0.0000 0.0000 0.0000
Zr1 Zr 0.0000 0.0000 0.1987
Zr2 Zr 0.0000 0.0000 0.3996
Co1 Co 0.5000 0.5000 0.0964
Co2 Co 0.5000 0.5000 0.2986
Co3 Co 0.5000 0.5000 0.5000
# - energy relative to the elements (eV per atom) = -0.30

=====

Record 12
# HfZr2Co PBE optimized geometry
data_HfZr2Co
_symmetry_space_group_name_H-M 'C m c m'
_symmetry_Int_Tables_number 63
_symmetry_space_group_name_Hall '-C 2c 2'
_cell_length_a 3.2334
_cell_length_b 10.6129
_cell_length_c 9.1333
_cell_angle_alpha 90.00
_cell_angle_beta 90.00
_cell_angle_gamma 90.00
loop_
_atom_site_label
_atom_site_type_symbol
_atom_site_fract_x
_atom_site_fract_y
_atom_site_fract_z
Hf1 Hf 0.0000 0.0849 0.2500
Zr1 Zr 0.0000 0.3669 0.0544
Co1 Co 0.0000 0.2244 0.7500
# - energy relative to the elements (eV per atom) = -0.22

=====

Record 13
# HfZr5Co6 PBE optimized geometry
data_HfZr5Co6
_symmetry_space_group_name_H-M 'I m m m'
_symmetry_Int_Tables_number 71
_symmetry_space_group_name_Hall '-I 2 2'
_cell_length_a 4.4834
_cell_length_b 6.4418
_cell_length_c 13.4386
_cell_angle_alpha 90.00
_cell_angle_beta 90.00
_cell_angle_gamma 90.00
loop_
_atom_site_label
_atom_site_type_symbol
_atom_site_fract_x
_atom_site_fract_y
_atom_site_fract_z
Hf1 Hf 0.0000 0.0000 0.0000
Zr1 Zr 0.0000 0.0000 0.3338
Zr2 Zr 0.0000 0.5000 0.0000
Zr3 Zr 0.0000 0.5000 0.3333
Co1 Co 0.0000 0.2469 0.1648
Co2 Co 0.0000 0.2558 0.5000
# - energy relative to the elements (eV per atom) = -0.30

=====

Record 14
# Hf8ZrCo2 PBE optimized geometry
data_Hf8ZrCo2
_symmetry_space_group_name_H-M 'C 1 2/m 1'
_symmetry_Int_Tables_number 12
_symmetry_space_group_name_Hall '-C 2y'
_cell_length_a 13.1772
_cell_length_b 6.1347
_cell_length_c 5.6719
_cell_angle_alpha 90.00
_cell_angle_beta 95.70
_cell_angle_gamma 90.00
loop_
_atom_site_label
_atom_site_type_symbol
_atom_site_fract_x
_atom_site_fract_y
_atom_site_fract_z
Hf1 Hf 0.0870 0.0000 0.3927
Hf2 Hf 0.1204 0.2401 0.9102
Hf3 Hf 0.2074 0.5000 0.3619
Zr1 Zr 0.0000 0.5000 0.5000
Co1 Co 0.2420 0.0000 0.1885
# - energy relative to the elements (eV per atom) = -0.01

=====

Record 15
# Hf6Zr2Co PBE optimized geometry
data_Hf6Zr2Co
_symmetry_space_group_name_H-M 'P -6 2 m'
_symmetry_Int_Tables_number 189
_symmetry_space_group_name_Hall 'P -6 -2'
_cell_length_a 8.2342
_cell_length_b 8.2342
_cell_length_c 3.2692
_cell_angle_alpha 90.00
_cell_angle_beta 90.00
_cell_angle_gamma 120.00
loop_
_atom_site_label
_atom_site_type_symbol
_atom_site_fract_x
_atom_site_fract_y
_atom_site_fract_z
Hf1 Hf 0.0000 0.3848 0.0000
Hf2 Hf 0.0000 0.7566 0.5000
Zr1 Zr 0.3333 0.6667 0.5000
Co1 Co 0.0000 0.0000 0.0000
# - energy relative to the elements (eV per atom) = -0.06

=====

Record 16
# Hf3Zr2Co2 PBE optimized geometry
data_Hf3Zr2Co2
_symmetry_space_group_name_H-M 'C 1 2/m 1'
_symmetry_Int_Tables_number 12
_symmetry_space_group_name_Hall '-C 2y'
_cell_length_a 11.0423
_cell_length_b 3.2724
_cell_length_c 8.1071
_cell_angle_alpha 90.00
_cell_angle_beta 113.96
_cell_angle_gamma 90.00
loop_
_atom_site_label
_atom_site_type_symbol
_atom_site_fract_x
_atom_site_fract_y
_atom_site_fract_z
Hf1 Hf 0.0000 0.0000 0.0000
Hf2 Hf 0.1166 0.0000 0.4376
Zr1 Zr 0.1582 0.5000 0.8119
Co1 Co 0.1651 0.5000 0.2316
# - energy relative to the elements (eV per atom) = -0.26

=====

Record 17
# Hf3ZrCo4 PBE optimized geometry
data_Hf3ZrCo4
_symmetry_space_group_name_H-M 'R -3 m'
_symmetry_Int_Tables_number 166
_symmetry_space_group_name_Hall '-R 3 2"'
_cell_length_a 4.4777
_cell_length_b 4.4777
_cell_length_c 21.9132
_cell_angle_alpha 90.00
_cell_angle_beta 90.00
_cell_angle_gamma 120.00
loop_
_atom_site_label
_atom_site_type_symbol
_atom_site_fract_x
_atom_site_fract_y
_atom_site_fract_z
Hf1 Hf 0.0000 0.0000 0.0000
Hf2 Hf 0.0000 0.0000 0.2505
Zr1 Zr 0.0000 0.0000 0.5000
Co1 Co 0.0000 0.0000 0.1236
Co2 Co 0.0000 0.0000 0.3738
# - energy relative to the elements (eV per atom) = -0.36

=====

Record 18
# HfZr8Co2 PBE optimized geometry
data_HfZr8Co2
_symmetry_space_group_name_H-M 'P -1'
_symmetry_Int_Tables_number 2
_symmetry_space_group_name_Hall '-P 1'
_cell_length_a 5.5061
_cell_length_b 6.1048
_cell_length_c 7.8254
_cell_angle_alpha 110.78
_cell_angle_beta 107.09
_cell_angle_gamma 93.92
loop_
_atom_site_label
_atom_site_type_symbol
_atom_site_fract_x
_atom_site_fract_y
_atom_site_fract_z
Hf1 Hf 0.0000 0.0000 0.0000
Zr1 Zr 0.2310 0.0786 0.4449
Zr2 Zr 0.2397 0.3551 0.8599
Zr3 Zr 0.2576 0.5165 0.3283
Zr4 Zr 0.3574 0.8248 0.7656
Co1 Co 0.3149 0.7695 0.1329
# - energy relative to the elements (eV per atom) = -0.08

=====

Record 19
# Hf2Zr7Co2 PBE optimized geometry
data_Hf2Zr7Co2
_symmetry_space_group_name_H-M 'C 1 2/m 1'
_symmetry_Int_Tables_number 12
_symmetry_space_group_name_Hall '-C 2y'
_cell_length_a 5.5502
_cell_length_b 8.6542
_cell_length_c 9.8335
_cell_angle_alpha 90.00
_cell_angle_beta 105.20
_cell_angle_gamma 90.00
loop_
_atom_site_label
_atom_site_type_symbol
_atom_site_fract_x
_atom_site_fract_y
_atom_site_fract_z
Hf1 Hf 0.0000 0.2140 0.0000
Zr1 Zr 0.0000 0.5000 0.5000
Zr2 Zr 0.0821 0.1676 0.6715
Zr3 Zr 0.1318 0.5000 0.8006
Co1 Co 0.2400 0.5000 0.0790
# - energy relative to the elements (eV per atom) = -0.07

=====

Record 20
# HfZr2Co PBE optimized geometry
data_HfZr2Co
_symmetry_space_group_name_H-M 'F m -3 m'
_symmetry_Int_Tables_number 225
_symmetry_space_group_name_Hall '-F 4 2 3'
_cell_length_a 6.7204
_cell_length_b 6.7204
_cell_length_c 6.7204
_cell_angle_alpha 90.00
_cell_angle_beta 90.00
_cell_angle_gamma 90.00
loop_
_atom_site_label
_atom_site_type_symbol
_atom_site_fract_x
_atom_site_fract_y
_atom_site_fract_z
Hf1 Hf 0.0000 0.0000 0.0000
Zr1 Zr 0.2500 0.2500 0.2500
Co1 Co 0.0000 0.0000 0.5000
# - energy relative to the elements (eV per atom) = 0.14